Record 1
# LaYTc3 | Alexandria | GGA-PBE | relaxed
# Energy above the most stable polymorph in this dataset (eV per atom): 0.1162
data_LaYTc3
_chemical_formula_sum 'La1 Y1 Tc3'
_symmetry_space_group_name_H-M 'P m -3 m'
_symmetry_Int_Tables_number 221
_symmetry_space_group_name_Hall '-P 4 2 3'
_cell_length_a 4.927
_cell_length_b 4.927
_cell_length_c 4.927
_cell_angle_alpha 90.00
_cell_angle_beta 90.00
_cell_angle_gamma 90.00
loop_
_atom_site_label
_atom_site_fract_x
_atom_site_fract_y
_atom_site_fract_z
La1 0.000 0.000 0.000
Y1 0.500 0.500 0.500
Tc1 0.000 0.500 0.500

---

Record 2
# LaYTc2 | Alexandria | GGA-PBE | relaxed
# Energy above the most stable polymorph in this dataset (eV per atom): 0.3710
data_LaYTc2
_chemical_formula_sum 'La2 Y2 Tc4'
_symmetry_space_group_name_H-M 'C m m m'
_symmetry_Int_Tables_number 65
_symmetry_space_group_name_Hall '-C 2 2'
_cell_length_a 3.468
_cell_length_b 5.307
_cell_length_c 9.028
_cell_angle_alpha 90.00
_cell_angle_beta 90.00
_cell_angle_gamma 90.00
loop_
_atom_site_label
_atom_site_fract_x
_atom_site_fract_y
_atom_site_fract_z
La1 0.000 0.000 0.000
Y1 0.000 0.000 0.500
Tc1 0.000 0.500 0.249

---

Record 3
# LaY2Tc | Alexandria | GGA-PBE | relaxed
# Energy above the most stable polymorph in this dataset (eV per atom): 0.1833
data_LaY2Tc
_chemical_formula_sum 'La2 Y4 Tc2'
_symmetry_space_group_name_H-M 'I m m m'
_symmetry_Int_Tables_number 71
_symmetry_space_group_name_Hall '-I 2 2'
_cell_length_a 3.649
_cell_length_b 5.407
_cell_length_c 11.329
_cell_angle_alpha 90.00
_cell_angle_beta 90.00
_cell_angle_gamma 90.00
loop_
_atom_site_label
_atom_site_fract_x
_atom_site_fract_y
_atom_site_fract_z
La1 0.000 0.000 0.000
Y1 0.000 0.500 0.196
Tc1 0.000 0.000 0.500

---

Record 4
# LaYTc2 | Alexandria | GGA-PBE | relaxed
# Energy above the most stable polymorph in this dataset (eV per atom): 0.4164
data_LaYTc2
_chemical_formula_sum 'La2 Y2 Tc4'
_symmetry_space_group_name_H-M 'C 1 2/m 1'
_symmetry_Int_Tables_number 12
_symmetry_space_group_name_Hall '-C 2y'
_cell_length_a 8.830
_cell_length_b 3.372
_cell_length_c 5.988
_cell_angle_alpha 90.00
_cell_angle_beta 98.40
_cell_angle_gamma 90.00
loop_
_atom_site_label
_atom_site_fract_x
_atom_site_fract_y
_atom_site_fract_z
La1 0.000 0.000 0.000
Y1 0.000 0.500 0.500
Tc1 0.241 0.000 0.798